This record from Alexandria describes a relaxed structure of CoTcIO2. The functional is PBE with a Hubbard U.

```
data_CoTcIO2
_chemical_formula_sum 'Co1 Tc1 I1 O2'
_cell_length_a 3.811
_cell_length_b 3.811
_cell_length_c 6.106
_cell_angle_alpha 90.00
_cell_angle_beta 90.00
_cell_angle_gamma 90.00
_symmetry_space_group_name_H-M 'P 1'
_symmetry_Int_Tables_number 1
_symmetry_space_group_name_Hall 'P 1'
loop_
_atom_site_label
_atom_site_fract_x
_atom_site_fract_y
_atom_site_fract_z
_atom_site_occupancy
Co1 0.000 0.000 0.000 1
Tc1 0.500 0.500 0.500 1
I1 0.500 0.500 0.000 1
O1 0.000 0.500 0.500 1
O2 0.500 0.000 0.500 1
```

symmetry = P4/mmm
raw total energy = -5.8245 eV/atom
offset from the most stable computed form = 0 meV per atom